A plane-wave DFT calculation with meta-GGA SCAN was carried out for a PBEsol-optimized structure of ReSbI2O.

```
ReSbI2O
1.0
5.538 0.000 0.000
0.000 5.538 0.000
0.000 0.000 3.757
Re Sb I O
1 1 2 1
Direct
0.000 0.000 0.000 Re
0.500 0.500 0.500 Sb
0.000 0.500 0.000 I
0.500 0.000 0.000 I
0.000 0.000 0.500 O
```

Calculated values
**Raw total energy**: -37.45 eV/atom
**Uncorrected formation energy**: 0.17 eV/atom
**Relative energy among the computed polymorphs**: 0 meV/atom
**Calculated volume**: 23.05 A^3/atom